No. 1
## SrCa2HgCl8 (PBE)

Data for a relaxed structure of SrCa2HgCl8.

Summary:
Energy   -3.6639 eV per atom
D(E_F)   0.000 states/eV per cell
Crystal system   monoclinic
Formation energy without anion corrections   -1.934 eV/atom

Unit cell a=6.4244 b=8.4457 c=6.5975 alpha=90.00 beta=90.13 gamma=90.00
Closest atoms and distances in Å follow each position.
Space group P2/m (No. 10)
Unique sites:
Sr: 0.0000 0.0000 0.0000 (multiplicity 1)  6 Cl 2.90
Ca: 0.5000 0.2578 0.5000 (multiplicity 2)  6 Cl 2.75-2.78
Hg: 0.0000 0.5000 0.0000 (multiplicity 1)  6 Cl 2.70-2.80
Cl: 0.2238 0.2656 0.1743 (multiplicity 4)  1 Hg 2.70, 1 Ca 2.78, 1 Sr 2.90
Cl: 0.2779 0.5000 0.6742 (multiplicity 2)  2 Ca 2.75, 1 Hg 2.80
Cl: 0.2900 0.0000 0.6629 (multiplicity 2)  2 Ca 2.78, 1 Sr 2.90



No. 2
## K5Na5Tl (PBE)

Data for a relaxed structure of K5Na5Tl.

Summary:
Energy of formation from the pure elements   0.0201 eV/atom
Energy   -1.2934 eV per atom
D(E_F)   13.147 states/eV per cell
Crystal system   monoclinic

Unit cell a=13.3769 b=6.1556 c=13.6404 alpha=90.00 beta=94.60 gamma=90.00
Closest atoms and distances in Å follow each position.
Space group C2/m (No. 12)
Unique sites:
K: 0.0000 0.0000 0.0000 (multiplicity 2)  2 Na 4.29, 6 K 4.31-4.41
K: 0.0953 0.5000 0.7524 (multiplicity 4)  1 Na 3.57
K: 0.2014 0.5000 0.1157 (multiplicity 4)  3 Na 4.23-4.26, 8 K 4.31-4.67
Na: 0.0000 0.5000 0.5000 (multiplicity 2)  2 Tl 3.08
Na: 0.1095 0.0000 0.3047 (multiplicity 4)  1 Tl 3.14
Na: 0.2386 0.0000 0.5748 (multiplicity 4)  1 Tl 3.27
Tl: 0.0000 0.0000 0.5000 (multiplicity 2)  6 Na 3.08-3.27



No. 3
## YZr2P (PBE)

Data for a relaxed structure of YZr2P.

Summary:
Energy of formation from the pure elements   -0.2353 eV/atom
Energy   -7.4779 eV per atom
D(E_F)   8.369 states/eV per cell
Crystal system   tetragonal

Unit cell a=4.2324 b=4.2324 c=9.4731 alpha=90.00 beta=90.00 gamma=90.00
Closest atoms and distances in Å follow each position.
Space group I-4m2 (No. 119)
Unique sites:
Y: 0.0000 0.0000 0.0000 (multiplicity 2)  8 Zr 2.99-3.18, 4 P 3.18
Zr: 0.0000 0.0000 0.5000 (multiplicity 2)  4 Y 2.99, 4 Zr 3.18, 4 P 3.18
Zr: 0.0000 0.5000 0.7500 (multiplicity 2)  4 P 2.99, 4 Zr 3.18, 4 Y 3.18
P: 0.0000 0.5000 0.2500 (multiplicity 2)  8 Zr 2.99-3.18, 4 Y 3.18